{
  "formula": "YNi4B4",
  "functional": "PBE",
  "state": "relaxed",
  "cell": [[-2.907, 2.165, 1.093], [-4.365, -5.559, -0.598], [1.263, -1.720, 6.765]],
  "species": ["Y", "Y", "Ni", "Ni", "Ni", "Ni", "Ni", "Ni", "Ni", "Ni", "B", "B", "B", "B", "B", "B", "B", "B"],
  "frac_coords": [[0.000, 0.000, 0.000], [0.500, 0.500, 0.500], [0.394, 0.355, 0.892], [0.894, 0.608, 0.855], [0.394, 0.645, 0.108], [0.106, 0.145, 0.608], [0.606, 0.892, 0.645], [0.106, 0.855, 0.392], [0.894, 0.392, 0.145], [0.606, 0.108, 0.355], [0.604, 0.832, 0.295], [0.604, 0.168, 0.705], [0.104, 0.795, 0.668], [0.896, 0.332, 0.795], [0.896, 0.668, 0.205], [0.396, 0.295, 0.168], [0.396, 0.705, 0.832], [0.104, 0.205, 0.332]],
  "magnetic_moment_mub_per_atom": 0.0000,
  "spacegroup": "P4_2/n",
  "e_form_kj_per_mol_atoms": -39.88,
  "relative_energy_mev_per_atom": 18
}